(1)
DFT (PBE-GGA) results for a relaxed structure of AlOs2Au.

- Raw total energy: -0.526 Ry per atom
- Total magnetic moment: 0.00 μB per formula unit
- ΔE_f: 0.2112 eV/atom

Cell lengths 4.760, 4.760, 4.760 Å; angles 131.12, 131.12, 71.63 degrees
Fractional coordinates of all 4 atoms:
Al 0.000 0.000 0.000
Os 0.500 0.500 0.000
Os 0.750 0.250 0.500
Au 0.250 0.750 0.500



(2)
DFT (PBE-GGA) results for a relaxed structure of Ca2YB.

- Raw total energy: -0.283 Ry per atom
- Total magnetic moment: 0.00 μB per formula unit
- ΔE_f: 0.4309 eV/atom

Cell lengths 7.294, 7.294, 7.294 Å; angles 97.18, 97.18, 138.58 degrees
Fractional coordinates of all 8 atoms:
Ca 0.375 0.239 0.364
Ca 0.761 0.125 0.136
Ca 0.875 0.011 0.636
Ca 0.989 0.625 0.864
Y 0.250 0.750 0.500
Y 0.500 0.500 0.000
B 0.000 0.000 0.000
B 0.750 0.250 0.500